Rb2V4O9 after structural relaxation, computed with PBE with a Hubbard U.

Cell: 5.7839 5.7839 15.1992 Å, 90.00 90.00 90.00°
Last column: nearest neighbours and their distance in Å.
Sites, in units of the cell vectors:
Rb 0.2660 0.2427 0.5000  10 O 3.10-3.41
Rb 0.7573 0.2660 0.0000  10 O 3.10-3.41
Rb 0.2427 0.7340 0.0000  10 O 3.10-3.41
Rb 0.7340 0.7573 0.5000  10 O 3.10-3.41
V 0.2868 0.1486 0.2004  1 O 1.67
V 0.8514 0.2868 0.7004  1 O 1.67
V 0.1486 0.7132 0.7004  1 O 1.67
V 0.7132 0.8514 0.2004  1 O 1.67
V 0.7132 0.8514 0.7996  1 O 1.67
V 0.1486 0.7132 0.2996  1 O 1.67
V 0.8514 0.2868 0.2996  1 O 1.67
V 0.2868 0.1486 0.7996  1 O 1.67
O 0.0000 0.0000 0.2500  4 V 2.01
O 0.0000 0.0000 0.7500  4 V 2.01
O 0.2276 0.2286 0.0973  1 V 1.67
O 0.7714 0.2276 0.5973  1 V 1.67
O 0.2286 0.7724 0.5973  1 V 1.67
O 0.7724 0.7714 0.0973  1 V 1.67
O 0.7724 0.7714 0.9027  1 V 1.67
O 0.2286 0.7724 0.4027  1 V 1.67
O 0.7714 0.2276 0.4027  1 V 1.67
O 0.2276 0.2286 0.9027  1 V 1.67
O 0.1827 0.3785 0.2869  3 V 1.96-2.00
O 0.6215 0.1827 0.7869  3 V 1.96-2.00
O 0.3785 0.8173 0.7869  3 V 1.96-2.00
O 0.8173 0.6215 0.2869  3 V 1.96-2.00
O 0.8173 0.6215 0.7131  3 V 1.96-2.00
O 0.3785 0.8173 0.2131  3 V 1.96-2.00
O 0.6215 0.1827 0.2131  3 V 1.96-2.00
O 0.1827 0.3785 0.7131  3 V 1.96-2.00

Results
**Uncorrected energy**: -106.7 eV per formula unit